This record from Alexandria describes crystalline Mg30CoSnO32 at its relaxed geometry. The functional is GGA+U.

Properties
calculated total energy = -5.9258 eV/atom
calculated volume = 630.7 Å³ per cell

Unit cell a=8.5768 b=8.5768 c=8.5743 alpha=90.00 beta=90.00 gamma=90.00
Space group P4/mmm (No. 123)
Unique sites:
Mg: 0.0000 0.0000 0.0000 [1 per cell]
Mg: 0.0000 0.0000 0.5000 [1 per cell]
Mg: 0.0000 0.2498 0.2482 [8 per cell]
Mg: 0.0000 0.5000 0.0000 [2 per cell]
Mg: 0.0000 0.5000 0.5000 [2 per cell]
Mg: 0.2453 0.2453 0.5000 [4 per cell]
Mg: 0.2471 0.5000 0.2412 [8 per cell]
Mg: 0.2518 0.2518 0.0000 [4 per cell]
Co: 0.5000 0.5000 0.0000 [1 per cell]
Sn: 0.5000 0.5000 0.5000 [1 per cell]
O: 0.0000 0.0000 0.2505 [2 per cell]
O: 0.0000 0.2482 0.0000 [4 per cell]
O: 0.0000 0.2483 0.5000 [4 per cell]
O: 0.0000 0.5000 0.2506 [4 per cell]
O: 0.2377 0.5000 0.0000 [4 per cell]
O: 0.2390 0.5000 0.5000 [4 per cell]
O: 0.2507 0.2507 0.2504 [8 per cell]
O: 0.5000 0.5000 0.2474 [2 per cell]